SrThCo: optimized geometry, PBE.

The space group is F-43m (No. 216) and the conventional cell measures 6.895, 6.895 and 6.895 Å, with angles of 90.00, 90.00 and 90.00 degrees. The asymmetric unit holds Sr at (0.000, 0.000, 0.000), Th at (0.000, 0.000, 0.500) and Co at (0.250, 0.250, 0.250).

---

SrTl2Co: optimized geometry, PBE.

The space group is F-43m (No. 216) and the conventional cell measures 7.365, 7.365 and 7.365 Å, with angles of 90.00, 90.00 and 90.00 degrees. The asymmetric unit holds Sr at (0.000, 0.000, 0.000), Tl at (0.000, 0.000, 0.500), Tl at (0.250, 0.250, 0.750) and Co at (0.250, 0.250, 0.250).

---

SrUCo: optimized geometry, PBE.

The space group is F-43m (No. 216) and the conventional cell measures 6.740, 6.740 and 6.740 Å, with angles of 90.00, 90.00 and 90.00 degrees. The asymmetric unit holds Sr at (0.000, 0.000, 0.000), U at (0.000, 0.000, 0.500) and Co at (0.250, 0.250, 0.250).

---

Sr2ZnCo: optimized geometry, PBE.

The space group is F-43m (No. 216) and the conventional cell measures 7.245, 7.245 and 7.245 Å, with angles of 90.00, 90.00 and 90.00 degrees. The asymmetric unit holds Sr at (0.000, 0.000, 0.000), Sr at (0.250, 0.250, 0.250), Zn at (0.000, 0.000, 0.500) and Co at (0.250, 0.250, 0.750).

---

no.,E_tot (eV per atom)
1,-5.0238
2,-3.0503
3,-5.8395
4,-2.4442